No. 1
The following is a PBE calculation of NbBS2F after structural relaxation, from Alexandria.

POSCAR file:
```
NbBS2F
1.0
4.8266 0.0000 0.0000
0.0000 4.0634 0.0000
0.0000 0.0000 4.8266
Nb B S F
1 1 2 1
direct
0.0000 0.0000 0.0000 Nb
0.5000 0.5000 0.5000 B
0.0000 0.0000 0.5000 S
0.5000 0.0000 0.0000 S
0.0000 0.5000 0.0000 F
```

**Formation energy (no corrections)**: -0.45 eV/f.u.
**Symmetry**: P4/mmm, No. 123
**Relative energy among the computed polymorphs**: 0 meV/atom
**Mass density**: 3.278 g cm⁻³

No. 2
The following is a PBE calculation of TiNbBF2 after structural relaxation, from Alexandria.

POSCAR file:
```
TiNbBF2
1.0
-3.8782 0.5618 -0.2591
-0.7683 -5.3965 -0.1998
-0.2770 -0.1056 3.9160
Nb F B Ti
1 2 1 1
direct
0.0000 0.0000 0.0000 Nb
0.0000 0.0000 0.5000 F
0.5000 0.0000 0.0000 F
0.5000 0.5000 0.5000 B
0.0000 0.5000 0.0000 Ti
```

**Formation energy (no corrections)**: -1.66 eV/f.u.
**Symmetry**: P4/mmm, No. 123
**Mass density**: 3.742 g cm⁻³

No. 3
The following is a PBE calculation of ZrNb2BF after structural relaxation, from Alexandria.

POSCAR file:
```
ZrNb2BF
1.0
5.0161 0.0000 0.0000
0.0000 4.0054 0.0000
0.0000 0.0000 5.0161
Nb B Zr F
2 1 1 1
direct
0.0000 0.0000 0.5000 Nb
0.5000 0.0000 0.0000 Nb
0.5000 0.5000 0.5000 B
0.0000 0.0000 0.0000 Zr
0.0000 0.5000 0.0000 F
```

**Formation energy (no corrections)**: 6.13 eV/f.u.
**Symmetry**: P4/mmm, No. 123
**Mass density**: 5.056 g cm⁻³